Arrangement 1

A plane-wave DFT calculation with PBE-GGA was carried out for Pm6DyY4 after structural relaxation.

a = 5.8558 Å, b = 9.7356 Å, c = 25.8964 Å
α = 90.00°, β = 90.00°, γ = 90.00°
Space group Cmcm (No. 63)
Inequivalent atoms, fractional coordinates:
Pm 0.0000 0.0000 0.0000 [4 per cell]
Pm 0.0000 0.0479 0.2500 [4 per cell]
Pm 0.0000 0.3017 0.6024 [8 per cell]
Pm 0.0000 0.3744 0.1828 [8 per cell]
Dy 0.0000 0.2898 0.7500 [4 per cell]
Y 0.0000 0.0396 0.1238 [8 per cell]
Y 0.0000 0.3492 0.0441 [8 per cell]

Summary:
N(E_F)	19.345	states/eV/f.u.
total moment	0.00	μB per formula unit



Arrangement 2

A plane-wave DFT calculation with PBE-GGA was carried out for Pm6DyY4 after structural relaxation.

a = 6.7314 Å, b = 6.7314 Å, c = 16.9351 Å
α = 90.00°, β = 90.00°, γ = 90.00°
Space group I-42m (No. 121)
Inequivalent atoms, fractional coordinates:
Pm 0.0000 0.5000 0.0000 [4 per cell]
Pm 0.1887 0.1887 0.1752 [8 per cell]
Dy 0.0000 0.0000 0.0000 [2 per cell]
Y 0.1781 0.1781 0.3762 [8 per cell]

Summary:
N(E_F)	17.459	states/eV/f.u.
total moment	0.00	μB per formula unit



Least stable of them? arrangement 2.